Entry 1:
{
  "formula": "TcNiSe2",
  "functional": "PBE-GGA",
  "state": "relaxed",
  "cell": [[3.1011, 0.0000, 0.0000], [0.0000, 3.1011, 0.0000], [0.0000, 0.0000, 6.2158]],
  "species": ["Tc", "Ni", "Se", "Se"],
  "fractional_positions": [[0.0000, 0.0000, 0.0000], [0.0000, 0.0000, 0.5000], [0.5000, 0.5000, 0.2507], [0.5000, 0.5000, 0.7493]],
  "spacegroup": "P4/mmm",
  "raw_formation_energy_ev_per_atom": 0.1120,
  "relative_energy_mev_per_atom": 389
}

Entry 2:
{
  "formula": "YCdRe3",
  "functional": "PBE-GGA",
  "state": "relaxed",
  "cell": [[4.8732, 0.0000, 0.0000], [0.0000, 4.8732, 0.0000], [0.0000, 0.0000, 4.8732]],
  "species": ["Y", "Cd", "Re", "Re", "Re"],
  "fractional_positions": [[0.0000, 0.0000, 0.0000], [0.5000, 0.5000, 0.5000], [0.0000, 0.0000, 0.5000], [0.0000, 0.5000, 0.0000], [0.5000, 0.0000, 0.0000]],
  "spacegroup": "Pm-3m",
  "relative_energy_mev_per_atom": 531
}

Entry 3:
{
  "formula": "TaSe2BrN",
  "functional": "PBE-GGA",
  "state": "relaxed",
  "cell": [[4.4764, 0.0000, 0.0000], [0.0000, 4.4764, 0.0000], [0.0000, 0.0000, 4.2666]],
  "species": ["Ta", "Se", "Se", "Br", "N"],
  "fractional_positions": [[0.0000, 0.0000, 0.0000], [0.0000, 0.5000, 0.5000], [0.5000, 0.0000, 0.5000], [0.5000, 0.5000, 0.0000], [0.5000, 0.5000, 0.5000]],
  "spacegroup": "P4/mmm",
  "raw_formation_energy_ev_per_atom": 1.1642,
  "relative_energy_mev_per_atom": 1017
}

Entry 4:
{
  "formula": "Ac2Ho2Er15",
  "functional": "PBE-GGA",
  "state": "relaxed",
  "cell": [[5.7623, 3.3269, 5.5616], [-5.7623, 3.3269, 5.5616], [0.0000, -6.6538, 5.5616]],
  "species": ["Ac", "Ac", "Ho", "Ho", "Er", "Er", "Er", "Er", "Er", "Er", "Er", "Er", "Er", "Er", "Er", "Er", "Er", "Er", "Er"],
  "fractional_positions": [[0.1137, 0.1137, 0.1137], [0.8863, 0.8863, 0.8863], [0.3582, 0.3582, 0.3582], [0.6418, 0.6418, 0.6418], [0.0000, 0.0000, 0.5000], [0.0000, 0.3461, 0.6539], [0.0000, 0.5000, 0.0000], [0.0000, 0.6539, 0.3461], [0.2030, 0.6630, 0.6630], [0.3370, 0.3369, 0.7970], [0.3370, 0.7970, 0.3370], [0.3461, 0.0000, 0.6539], [0.3461, 0.6539, 0.0000], [0.5000, 0.0000, 0.0000], [0.6539, 0.0000, 0.3461], [0.6539, 0.3461, 0.0000], [0.6630, 0.2029, 0.6630], [0.6630, 0.6630, 0.2030], [0.7970, 0.3370, 0.3370]],
  "spacegroup": "R-3m",
  "total_energy_ev_per_atom": -4.2369
}

Entry 5:
{
  "formula": "MnAu3N",
  "functional": "PBE-GGA",
  "state": "relaxed",
  "cell": [[4.4109, 0.0000, 0.0000], [0.0000, 4.4109, 0.0000], [0.0000, 0.0000, 4.4109]],
  "species": ["Mn", "Au", "Au", "Au", "N"],
  "fractional_positions": [[0.0000, 0.0000, 0.0000], [0.0000, 0.5000, 0.5000], [0.5000, 0.0000, 0.5000], [0.5000, 0.5000, 0.0000], [0.5000, 0.5000, 0.5000]],
  "spacegroup": "Pm-3m",
  "raw_formation_energy_ev_per_atom": 0.8410,
  "relative_energy_mev_per_atom": 0
}

Entry 6:
{
  "formula": "CaTaMo2",
  "functional": "PBE-GGA",
  "state": "relaxed",
  "cell": [[-1.6181, 2.4420, 4.8469], [1.6181, -2.4420, 4.8469], [1.6181, 2.4420, -4.8469]],
  "species": ["Ca", "Ta", "Mo", "Mo"],
  "fractional_positions": [[0.0000, 0.0000, 0.0000], [0.2767, 0.7767, 0.5000], [0.5323, 0.5323, 0.0000], [0.7328, 0.2328, 0.5000]],
  "spacegroup": "Imm2",
  "relative_energy_mev_per_atom": 133
}

no.,magnetization (μB per cell),Fermi-level density of states (states/eV/atom),volume (A^3/atom)
1,0.0,0.8689,14.94
2,2.5,0.9839,23.15
3,0.0,0.9216,17.10
4,0.0,1.8245,33.67
5,4.3,0.4580,17.16
6,0.0,1.0847,19.15